## TaTe4Rh (PBE)

Data for an optimized crystal structure of TaTe4Rh.

Values from the calculation:
- DOS at the Fermi energy: 4.7 states/eV/cell
- Offset from the most stable computed form: 0.233 eV per atom
- Space group: C2/c, No. 15

a b c (Å): 6.499 6.516 10.074
angles (deg): 102.03 101.96 110.88
Fractional positions:
1 Te 0.845 0.568 0.642
2 Te 0.039 0.794 0.073
3 Rh 0.820 0.070 0.140
4 Te 0.961 0.206 0.927
5 Ta 0.334 0.584 0.168
6 Te 0.466 0.720 0.927
7 Te 0.297 0.074 0.642
8 Te 0.703 0.926 0.358
9 Rh 0.180 0.930 0.860
10 Te 0.155 0.432 0.358
11 Te 0.534 0.280 0.073
12 Ta 0.666 0.416 0.832